Entry 1:
ZnCoTcNi: relaxed, PBE.

```
data_ZnCoTcNi
_chemical_formula_sum 'Zn4 Co4 Tc4 Ni4'
_cell_length_a 5.825
_cell_length_b 5.825
_cell_length_c 5.825
_cell_angle_alpha 90.00
_cell_angle_beta 90.00
_cell_angle_gamma 90.00
_space_group_name_H-M_alt 'F -4 3 m'
_space_group_IT_number 216
_space_group_name_Hall 'F -4 2 3'
loop_
_atom_site_label
_atom_site_fract_x
_atom_site_fract_y
_atom_site_fract_z
Zn1 0.000 0.000 0.000
Co1 0.250 0.250 0.250
Tc1 0.250 0.250 0.750
Ni1 0.000 0.000 0.500
```

Total magnetization (μB per formula unit): 0.30
Polymorph energy (0 for the lowest one) (eV/f.u.): 0.34
DFT formation energy (meV per atom): 200

***

Entry 2:
Th2CoNi: relaxed, PBE.

```
data_Th2CoNi
_chemical_formula_sum 'Th4 Co2 Ni2'
_cell_length_a 5.821
_cell_length_b 4.153
_cell_length_c 7.444
_cell_angle_alpha 90.00
_cell_angle_beta 109.42
_cell_angle_gamma 90.00
_space_group_name_H-M_alt 'P 1 21/m 1'
_space_group_IT_number 11
loop_
_space_group_symop_operation_xyz
'x,y,z'
'-x,-y,-z'
'-x,y+1/2,-z'
'x,-y+1/2,z'
loop_
_atom_site_label
_atom_site_fract_x
_atom_site_fract_y
_atom_site_fract_z
Th1 0.231 0.250 0.429
Th2 0.232 0.250 0.939
Co1 0.309 0.750 0.208
Ni1 0.332 0.750 0.707
```

Total magnetization (μB per formula unit): 0.01
DFT formation energy (meV per atom): -402

***

Entry 3:
TlZnCoNi: relaxed, PBE.

```
data_TlZnCoNi
_chemical_formula_sum 'Tl4 Zn4 Co4 Ni4'
_cell_length_a 6.112
_cell_length_b 6.112
_cell_length_c 6.112
_cell_angle_alpha 90.00
_cell_angle_beta 90.00
_cell_angle_gamma 90.00
_space_group_name_H-M_alt 'F -4 3 m'
_space_group_IT_number 216
_space_group_name_Hall 'F -4 2 3'
loop_
_atom_site_label
_atom_site_fract_x
_atom_site_fract_y
_atom_site_fract_z
Tl1 0.000 0.000 0.000
Zn1 0.000 0.000 0.500
Co1 0.250 0.250 0.250
Ni1 0.250 0.250 0.750
```

Total magnetization (μB per formula unit): 0.56
Polymorph energy (0 for the lowest one) (eV/f.u.): 0.00

***

Entry 4:
TmCoNi: relaxed, PBE.

```
data_TmCoNi
_chemical_formula_sum 'Tm4 Co4 Ni4'
_cell_length_a 5.947
_cell_length_b 5.947
_cell_length_c 5.947
_cell_angle_alpha 90.00
_cell_angle_beta 90.00
_cell_angle_gamma 90.00
_space_group_name_H-M_alt 'F -4 3 m'
_space_group_IT_number 216
_space_group_name_Hall 'F -4 2 3'
loop_
_atom_site_label
_atom_site_fract_x
_atom_site_fract_y
_atom_site_fract_z
Tm1 0.000 0.000 0.000
Co1 0.000 0.000 0.500
Ni1 0.250 0.250 0.750
```

Total magnetization (μB per formula unit): 1.33
DFT formation energy (meV per atom): 113

***

Entry 5:
TmCoNi: relaxed, PBE.

```
data_TmCoNi
_chemical_formula_sum 'Tm4 Co4 Ni4'
_cell_length_a 5.972
_cell_length_b 5.972
_cell_length_c 5.972
_cell_angle_alpha 90.00
_cell_angle_beta 90.00
_cell_angle_gamma 90.00
_space_group_name_H-M_alt 'F -4 3 m'
_space_group_IT_number 216
_space_group_name_Hall 'F -4 2 3'
loop_
_atom_site_label
_atom_site_fract_x
_atom_site_fract_y
_atom_site_fract_z
Tm1 0.000 0.000 0.000
Co1 0.250 0.250 0.750
Ni1 0.250 0.250 0.250
```

Total magnetization (μB per formula unit): 0.30
DFT formation energy (meV per atom): 584

***

Entry 6:
TmCo2Ni2: relaxed, PBE.

```
data_TmCo2Ni2
_chemical_formula_sum 'Tm2 Co4 Ni4'
_cell_length_a 3.696
_cell_length_b 3.696
_cell_length_c 10.267
_cell_angle_alpha 90.00
_cell_angle_beta 90.00
_cell_angle_gamma 90.00
_space_group_name_H-M_alt 'I 4/m m m'
_space_group_IT_number 139
_space_group_name_Hall '-I 4 2'
loop_
_atom_site_label
_atom_site_fract_x
_atom_site_fract_y
_atom_site_fract_z
Tm1 0.000 0.000 0.000
Co1 0.000 0.500 0.250
Ni1 0.000 0.000 0.390
```

Total magnetization (μB per formula unit): 3.75
DFT formation energy (meV per atom): -107

***

> Among the records above, which one has the lowest total magnetization?

Th2CoNi

***

Copy entry 4 word for word.
TmCoNi: relaxed, PBE.

```
data_TmCoNi
_chemical_formula_sum 'Tm4 Co4 Ni4'
_cell_length_a 5.947
_cell_length_b 5.947
_cell_length_c 5.947
_cell_angle_alpha 90.00
_cell_angle_beta 90.00
_cell_angle_gamma 90.00
_space_group_name_H-M_alt 'F -4 3 m'
_space_group_IT_number 216
_space_group_name_Hall 'F -4 2 3'
loop_
_atom_site_label
_atom_site_fract_x
_atom_site_fract_y
_atom_site_fract_z
Tm1 0.000 0.000 0.000
Co1 0.000 0.000 0.500
Ni1 0.250 0.250 0.750
```

Total magnetization (μB per formula unit): 1.33
DFT formation energy (meV per atom): 113

***

Copy entry 3 word for word.
TlZnCoNi: relaxed, PBE.

```
data_TlZnCoNi
_chemical_formula_sum 'Tl4 Zn4 Co4 Ni4'
_cell_length_a 6.112
_cell_length_b 6.112
_cell_length_c 6.112
_cell_angle_alpha 90.00
_cell_angle_beta 90.00
_cell_angle_gamma 90.00
_space_group_name_H-M_alt 'F -4 3 m'
_space_group_IT_number 216
_space_group_name_Hall 'F -4 2 3'
loop_
_atom_site_label
_atom_site_fract_x
_atom_site_fract_y
_atom_site_fract_z
Tl1 0.000 0.000 0.000
Zn1 0.000 0.000 0.500
Co1 0.250 0.250 0.250
Ni1 0.250 0.250 0.750
```

Total magnetization (μB per formula unit): 0.56
Polymorph energy (0 for the lowest one) (eV/f.u.): 0.00